# SrGa4Au2

SrGa4Au2 after structural relaxation (PBE-GGA, Alexandria).

Structure (POSCAR):
```
SrGa4Au2
1.0
4.608 0.000 0.000
0.000 6.887 0.000
0.000 0.000 17.870
Sr Au Ga
4 8 16
Direct
0.750 0.993 0.639 Sr
0.250 0.007 0.361 Sr
0.250 0.493 0.861 Sr
0.750 0.507 0.139 Sr
0.250 0.758 0.534 Au
0.750 0.242 0.466 Au
0.750 0.258 0.966 Au
0.250 0.742 0.034 Au
0.250 0.982 0.782 Au
0.750 0.018 0.218 Au
0.750 0.482 0.718 Au
0.250 0.518 0.282 Au
0.250 0.289 0.687 Ga
0.750 0.711 0.313 Ga
0.750 0.789 0.813 Ga
0.250 0.211 0.187 Ga
0.250 0.683 0.684 Ga
0.750 0.317 0.316 Ga
0.750 0.183 0.816 Ga
0.250 0.817 0.184 Ga
0.250 0.182 0.538 Ga
0.750 0.818 0.462 Ga
0.750 0.682 0.962 Ga
0.250 0.318 0.038 Ga
0.250 0.481 0.430 Ga
0.750 0.519 0.570 Ga
0.750 0.981 0.070 Ga
0.250 0.019 0.930 Ga
```

Values from the calculation:
SG: Pnma (62)



# Sr2GaAu2

Sr2GaAu2 after structural relaxation (PBE-GGA, Alexandria).

Structure (POSCAR):
```
Sr2GaAu2
1.0
-3.460 -5.097 -0.358
5.014 -3.304 -1.423
1.400 -4.890 2.906
Sr Au Ga
2 2 1
Direct
0.750 0.250 0.500 Sr
0.250 0.750 0.500 Sr
0.329 0.329 0.343 Au
0.671 0.671 0.657 Au
0.000 0.000 0.000 Ga
```

Values from the calculation:
SG: I4/mmm (139)



# Sr2Ga6Au3

Sr2Ga6Au3 after structural relaxation (PBE-GGA, Alexandria).

Structure (POSCAR):
```
Sr2Ga6Au3
1.0
-3.501 -2.595 0.323
4.658 -5.945 2.716
-3.345 5.155 5.162
Sr Ga Au
2 6 3
Direct
0.000 0.667 0.333 Sr
0.000 0.333 0.667 Sr
0.500 0.693 0.693 Ga
0.500 0.000 0.307 Ga
0.000 0.188 0.188 Ga
0.000 0.812 0.000 Ga
0.500 0.307 0.000 Ga
0.000 0.000 0.812 Ga
0.500 0.366 0.366 Au
0.500 0.634 0.000 Au
0.500 0.000 0.634 Au
```

Values from the calculation:
SG: P-62m (189)



no.,volume (Å³/f.u.),Fermi-level density of states (states/eV/cell),energy of formation (eV per atom)
1,141.8,7.5,-0.4467
2,148.9,4.3,-0.5114
3,243.7,7.7,-0.4973